# 1
DFT (PBE-GGA) results for CdPO after structural relaxation.

The structure in CIF format:
```
data_CdPO
_symmetry_space_group_name_H-M 'P 1'
_symmetry_Int_Tables_number 1
_cell_length_a 3.3260
_cell_length_b 4.1035
_cell_length_c 5.0987
_cell_angle_alpha 108.75
_cell_angle_beta 108.61
_cell_angle_gamma 90.00
loop_
_symmetry_equiv_pos_as_xyz
'x,y,z'
loop_
_atom_site_label
_atom_site_fract_x
_atom_site_fract_y
_atom_site_fract_z
_atom_site_occupancy
Cd1 0.0000 0.0000 0.0000 1
P1 0.4113 0.4318 0.8176 1
O1 0.2464 0.3318 0.4782 1
```

Calculated values
Uncorrected formation energy ... -1.73 eV/f.u.
DFT total energy ... -13.013 eV/f.u.
Crystal system ... triclinic


# 2
DFT (PBE-GGA) results for Ni2HgW after structural relaxation.

The structure in CIF format:
```
data_Ni2HgW
_symmetry_space_group_name_H-M 'P m m 2'
_symmetry_Int_Tables_number 25
_cell_length_a 2.9227
_cell_length_b 3.1134
_cell_length_c 6.4379
_cell_angle_alpha 90.00
_cell_angle_beta 90.00
_cell_angle_gamma 90.00
loop_
_symmetry_equiv_pos_as_xyz
'x,y,z'
'-x,-y,z'
'-x,y,z'
'x,-y,z'
loop_
_atom_site_label
_atom_site_fract_x
_atom_site_fract_y
_atom_site_fract_z
_atom_site_occupancy
Ni1 0.0000 0.0000 0.0000 1
Ni2 0.5000 0.5000 0.1927 1
Hg1 0.5000 0.5000 0.7337 1
W1 0.0000 0.0000 0.4014 1
```

Calculated values
DFT total energy ... -23.485 eV/f.u.
Crystal system ... orthorhombic
Formation enthalpy at 0 K ... 0.33 eV/atom


# 3
DFT (PBE-GGA) results for Cr5Pb3Se12 after structural relaxation.

The structure in CIF format:
```
data_Cr5Pb3Se12
_symmetry_space_group_name_H-M 'I a -3 d'
_symmetry_Int_Tables_number 230
_symmetry_space_group_name_Hall '-I 4bd 2c 3'
_cell_length_a 15.9174
_cell_length_b 15.9174
_cell_length_c 15.9174
_cell_angle_alpha 90.00
_cell_angle_beta 90.00
_cell_angle_gamma 90.00
loop_
_atom_site_label
_atom_site_fract_x
_atom_site_fract_y
_atom_site_fract_z
_atom_site_occupancy
Cr1 0.0000 0.0000 0.0000 1
Cr2 0.0000 0.2500 0.3750 1
Pb1 0.0000 0.2500 0.1250 1
Se1 0.0332 0.0520 0.6482 1
```

Calculated values
Uncorrected formation energy ... -7.35 eV/f.u.
DFT total energy ... -108.406 eV/f.u.
Crystal system ... cubic


# 4
DFT (PBE-GGA) results for Rb2GeTe4 after structural relaxation.

The structure in CIF format:
```
data_Rb2GeTe4
_symmetry_space_group_name_H-M 'I 4/m m m'
_symmetry_Int_Tables_number 139
_symmetry_space_group_name_Hall '-I 4 2'
_cell_length_a 5.6634
_cell_length_b 5.6634
_cell_length_c 18.2377
_cell_angle_alpha 90.00
_cell_angle_beta 90.00
_cell_angle_gamma 90.00
loop_
_atom_site_label
_atom_site_fract_x
_atom_site_fract_y
_atom_site_fract_z
_atom_site_occupancy
Rb1 0.0000 0.0000 0.1433 1
Ge1 0.0000 0.0000 0.5000 1
Te1 0.0000 0.0000 0.3531 1
Te2 0.0000 0.5000 0.0000 1
```

Calculated values
Uncorrected formation energy ... -1.67 eV/f.u.
DFT total energy ... -20.785 eV/f.u.
Crystal system ... tetragonal


# 5
DFT (PBE-GGA) results for Ba2Li3ThH12 after structural relaxation.

The structure in CIF format:
```
data_Ba2Li3ThH12
_symmetry_space_group_name_H-M 'R -3 m'
_symmetry_Int_Tables_number 166
_symmetry_space_group_name_Hall '-R 3 2"'
_cell_length_a 6.8083
_cell_length_b 6.8083
_cell_length_c 16.2274
_cell_angle_alpha 90.00
_cell_angle_beta 90.00
_cell_angle_gamma 120.00
loop_
_atom_site_label
_atom_site_fract_x
_atom_site_fract_y
_atom_site_fract_z
_atom_site_occupancy
Ba1 0.0000 0.0000 0.1062 1
Li1 0.0000 0.5000 0.0000 1
Th1 0.0000 0.0000 0.5000 1
H1 0.0376 0.5188 0.8811 1
H2 0.0818 0.5409 0.2841 1
```

Calculated values
DFT total energy ... -62.736 eV/f.u.
Crystal system ... trigonal


# 6
DFT (PBE-GGA) results for Cr2CoPb after structural relaxation.

The structure in CIF format:
```
data_Cr2CoPb
_symmetry_space_group_name_H-M 'R -3 m'
_symmetry_Int_Tables_number 166
_symmetry_space_group_name_Hall '-R 3 2"'
_cell_length_a 3.0441
_cell_length_b 3.0441
_cell_length_c 25.1048
_cell_angle_alpha 90.00
_cell_angle_beta 90.00
_cell_angle_gamma 120.00
loop_
_atom_site_label
_atom_site_fract_x
_atom_site_fract_y
_atom_site_fract_z
_atom_site_occupancy
Cr1 0.0000 0.0000 0.2355 1
Co1 0.0000 0.0000 0.5000 1
Pb1 0.0000 0.0000 0.0000 1
```

Calculated values
DFT total energy ... -26.818 eV/f.u.
Crystal system ... trigonal
Formation enthalpy at 0 K ... 0.81 eV/atom


# 7
DFT (PBE-GGA) results for TlPbCl2 after structural relaxation.

The structure in CIF format:
```
data_TlPbCl2
_symmetry_space_group_name_H-M 'F -4 3 m'
_symmetry_Int_Tables_number 216
_symmetry_space_group_name_Hall 'F -4 2 3'
_cell_length_a 7.6003
_cell_length_b 7.6003
_cell_length_c 7.6003
_cell_angle_alpha 90.00
_cell_angle_beta 90.00
_cell_angle_gamma 90.00
loop_
_atom_site_label
_atom_site_fract_x
_atom_site_fract_y
_atom_site_fract_z
_atom_site_occupancy
Tl1 0.0000 0.0000 0.0000 1
Pb1 0.2500 0.2500 0.7500 1
Cl1 0.0000 0.0000 0.5000 1
Cl2 0.2500 0.2500 0.2500 1
```

Calculated values
Uncorrected formation energy ... -1.51 eV/f.u.
DFT total energy ... -11.279 eV/f.u.
Crystal system ... cubic


# 8
DFT (PBE-GGA) results for ZrTlSe2 after structural relaxation.

The structure in CIF format:
```
data_ZrTlSe2
_symmetry_space_group_name_H-M 'P 4/m m m'
_symmetry_Int_Tables_number 123
_symmetry_space_group_name_Hall '-P 4 2'
_cell_length_a 4.1427
_cell_length_b 4.1427
_cell_length_c 5.7917
_cell_angle_alpha 90.00
_cell_angle_beta 90.00
_cell_angle_gamma 90.00
loop_
_atom_site_label
_atom_site_fract_x
_atom_site_fract_y
_atom_site_fract_z
_atom_site_occupancy
Zr1 0.0000 0.0000 0.0000 1
Tl1 0.5000 0.5000 0.5000 1
Se1 0.0000 0.0000 0.5000 1
Se2 0.5000 0.5000 0.0000 1
```

Calculated values
Uncorrected formation energy ... -2.20 eV/f.u.
DFT total energy ... -20.085 eV/f.u.
Crystal system ... tetragonal


Among the records above, which one has the lowest DFT total energy?
Cr5Pb3Se12